Material: NaYC
Method: DFT, GGA-PBE
State: relaxed

abc: 7.551 3.491 5.827
angles: 107.30 83.16 103.10
Atoms (fractional coordinates):
Y 0.290 0.472 0.624
Y 0.059 0.626 0.161
Na 0.796 0.241 0.648
Na 0.567 0.873 0.138
C 0.069 0.967 0.830
C 0.058 0.839 0.587

Computed properties:
**Offset from the most stable computed form**: 256.6 meV/atom
**Space-group type**: P1, No. 1
**E**: -33.27 eV for the cell shown